No. 1
HfOsO2F | GGA-PBE | relaxed

The structure in POSCAR format:
```
HfOsO2F
1.0
4.148 0.000 0.000
0.000 4.148 0.000
0.000 0.000 4.087
Hf Os O F
1 1 2 1
Direct
0.000 0.000 0.000 Hf
0.500 0.500 0.500 Os
0.000 0.500 0.000 O
0.500 0.000 0.000 O
0.000 0.000 0.500 F
```

Values from the calculation:
E_form (uncorrected): -1.1274 eV per atom
Raw total energy: -0.5675 Ry per atom

No. 2
HfOsO2F | GGA-PBE | relaxed

The structure in POSCAR format:
```
HfOsO2F
1.0
-3.172 1.803 1.311
-1.323 -3.358 1.417
2.048 0.813 3.838
Hf Os O F
1 1 2 1
Direct
0.500 0.500 0.500 Hf
0.000 0.000 0.000 Os
0.000 0.500 0.000 O
0.500 0.000 0.000 O
0.000 0.000 0.500 F
```

Values from the calculation:
E_form (uncorrected): -0.3824 eV per atom
Raw total energy: -0.5128 Ry per atom

No. 3
HfPO2F | GGA-PBE | relaxed

The structure in POSCAR format:
```
HfPO2F
1.0
4.133 0.000 0.000
0.000 4.133 0.000
0.000 0.000 4.148
P Hf O F
1 1 2 1
Direct
0.500 0.500 0.500 P
0.000 0.000 0.000 Hf
0.000 0.500 0.000 O
0.500 0.000 0.000 O
0.000 0.000 0.500 F
```

Values from the calculation:
E_form (uncorrected): -1.7750 eV per atom
Raw total energy: -0.5296 Ry per atom

No. 4
HfPO2F | GGA-PBE | relaxed

The structure in POSCAR format:
```
HfPO2F
1.0
-3.904 -0.969 0.357
0.940 -2.754 2.799
-0.384 2.499 2.588
P Hf O F
1 1 2 1
Direct
0.000 0.000 0.500 P
0.500 0.500 0.500 Hf
0.000 0.500 0.000 O
0.500 0.000 0.000 O
0.000 0.000 0.000 F
```

Values from the calculation:
E_form (uncorrected): -0.2403 eV per atom
Raw total energy: -0.4168 Ry per atom

Question: The highest E_form (uncorrected) belongs to which entry?
Answer: number 4